{
  "formula": "Ag2HgBr2Cl2",
  "functional": "PBE",
  "state": "relaxed",
  "cell": [[-0.478, -3.243, 2.508], [7.860, -2.394, 1.798], [3.813, 1.426, 5.967]],
  "species": ["Ag", "Ag", "Hg", "Br", "Br", "Cl", "Cl"],
  "fractional_positions": [[0.238, 0.249, 0.275], [0.762, 0.751, 0.725], [0.000, 0.000, 0.000], [0.615, 0.154, 0.616], [0.385, 0.846, 0.384], [0.147, 0.667, 0.038], [0.853, 0.333, 0.962]],
  "formation_energy_uncorrected_ev_per_atom": -0.4093,
  "space_group": "No. 12"
}



{
  "formula": "CsPrO2",
  "functional": "PBE",
  "state": "relaxed",
  "cell": [[-1.878, 1.391, -2.903], [-0.206, -1.928, -3.183], [-6.563, -3.328, 0.259]],
  "species": ["Cs", "Pr", "O", "O"],
  "fractional_positions": [[0.496, 0.496, 0.511], [0.667, 0.667, 0.000], [0.059, 0.059, 0.824], [0.278, 0.278, 0.165]],
  "formation_energy_uncorrected_ev_per_atom": -2.4552,
  "space_group": "No. 160"
}



{
  "formula": "YMgZr",
  "functional": "PBE",
  "state": "relaxed",
  "cell": [[3.326, 0.000, 0.000], [-1.663, 2.881, 0.000], [0.000, 0.000, 8.211]],
  "species": ["Mg", "Y", "Zr"],
  "fractional_positions": [[0.000, 0.000, 0.988], [0.667, 0.333, 0.345], [0.333, 0.667, 0.667]],
  "de_polymorph_mev_per_atom": 76,
  "space_group": "No. 156",
  "delta_e_f_ev_per_atom": 0.079
}



{
  "formula": "LiTiSbRh",
  "functional": "PBE",
  "state": "relaxed",
  "cell": [[-4.265, 0.843, 1.065], [-1.647, -1.400, 3.919], [-0.960, 2.966, 3.212]],
  "species": ["Sb", "Li", "Rh", "Ti"],
  "fractional_positions": [[0.750, 0.750, 0.750], [0.500, 0.500, 0.500], [0.000, 0.000, 0.000], [0.250, 0.250, 0.250]],
  "formation_energy_uncorrected_ev_per_atom": -0.5210,
  "space_group": "No. 216"
}



{
  "formula": "KScCu2",
  "functional": "PBE",
  "state": "relaxed",
  "cell": [[-3.625, 2.457, -1.951], [-0.694, -0.113, -4.742], [-3.775, -2.333, -1.815]],
  "species": ["Cu", "Cu", "K", "Sc"],
  "fractional_positions": [[0.000, 0.000, 0.000], [0.250, 0.250, 0.250], [0.500, 0.500, 0.500], [0.750, 0.750, 0.750]],
  "de_polymorph_mev_per_atom": 539,
  "space_group": "No. 216",
  "delta_e_f_ev_per_atom": 0.623
}



{
  "formula": "MnAl2Zn",
  "functional": "PBE",
  "state": "relaxed",
  "cell": [[-5.179, 2.545, -1.998], [1.545, -4.042, -1.733], [-2.361, -1.218, 0.744]],
  "species": ["Zn", "Mn", "Al", "Al"],
  "fractional_positions": [[0.500, 0.500, 0.000], [0.000, 0.500, 0.500], [0.000, 0.000, 0.000], [0.500, 0.000, 0.500]],
  "space_group": "No. 65",
  "delta_e_f_ev_per_atom": -0.103
}



{
  "formula": "RuCN",
  "functional": "PBE",
  "state": "relaxed",
  "cell": [[-1.343, 3.556, 1.271], [-0.633, -1.156, 2.565], [5.990, -0.512, 1.248]],
  "species": ["Ru", "Ru", "C", "C", "N", "N"],
  "fractional_positions": [[0.308, 0.000, 0.393], [0.308, 0.500, 0.893], [0.528, 0.000, 0.131], [0.528, 0.500, 0.631], [0.792, 0.000, 0.325], [0.792, 0.500, 0.825]],
  "formation_energy_uncorrected_ev_per_atom": 0.6018,
  "de_polymorph_mev_per_atom": 164,
  "space_group": "No. 8"
}



{
  "formula": "CuTe2PtI",
  "functional": "PBE",
  "state": "relaxed",
  "cell": [[5.315, 0.000, 0.000], [0.000, 5.315, 0.000], [0.000, 0.000, 5.550]],
  "species": ["I", "Te", "Te", "Cu", "Pt"],
  "fractional_positions": [[0.000, 0.000, 0.500], [0.000, 0.500, 0.000], [0.500, 0.000, 0.000], [0.500, 0.500, 0.500], [0.000, 0.000, 0.000]],
  "formation_energy_uncorrected_ev_per_atom": 0.6617,
  "de_polymorph_mev_per_atom": 0,
  "space_group": "No. 123"
}